1.
Entry from Alexandria: an optimized crystal structure of MnCu2NiS4 (GGA-PBE).

Cell: 5.520 5.520 5.520 Å, 107.07 107.07 114.38°
Sites, in units of the cell vectors:
Mn: 0.000 0.000 0.000
Cu: 0.250 0.750 0.500
Cu: 0.750 0.250 0.500
Ni: 0.500 0.500 0.000
S: 0.074 0.074 0.640
S: 0.435 0.435 0.360
S: 0.565 0.926 0.000
S: 0.926 0.565 0.000

Computed properties:
For the raw formation energy, the calculation gives -0.154 eV/atom. The space group is No. 121.

2.
Entry from Alexandria: an optimized crystal structure of DyY4Pu (GGA-PBE).

Cell: 7.897 7.897 7.097 Å, 103.06 103.06 25.87°
Sites, in units of the cell vectors:
Dy: 0.000 0.000 0.000
Y: 0.335 0.335 0.169
Y: 0.337 0.337 0.666
Y: 0.663 0.663 0.334
Y: 0.665 0.665 0.831
Pu: 0.000 0.000 0.500

Computed properties:
As for the formation energy: 76 meV/atom. The space group is No. 12.

3.
Entry from Alexandria: an optimized crystal structure of AcTa2Ru (GGA-PBE).

Cell: 10.272 10.272 10.272 Å, 17.69 17.69 17.69°
Sites, in units of the cell vectors:
Ac: 0.000 0.000 0.000
Ta: 0.102 0.102 0.102
Ta: 0.898 0.898 0.898
Ru: 0.500 0.500 0.500

Computed properties:
As for the formation energy: 746 meV/atom. The space group is No. 166.

4.
Entry from Alexandria: an optimized crystal structure of VMo5W4 (GGA-PBE).

Cell: 3.159 3.159 15.801 Å, 90.00 90.00 90.00°
Sites, in units of the cell vectors:
V: 0.000 0.000 0.000
Mo: 0.500 0.500 0.097
Mo: 0.500 0.500 0.298
Mo: 0.500 0.500 0.500
Mo: 0.500 0.500 0.702
Mo: 0.500 0.500 0.903
W: 0.000 0.000 0.196
W: 0.000 0.000 0.399
W: 0.000 0.000 0.601
W: 0.000 0.000 0.804

Computed properties:
As for the formation energy: -49 meV/atom. The space group is No. 123.

5.
Entry from Alexandria: an optimized crystal structure of Ac2NpP2O2 (GGA-PBE).

Cell: 8.766 8.766 8.766 Å, 150.94 150.94 41.57°
Sites, in units of the cell vectors:
Ac: 0.146 0.146 0.000
Ac: 0.854 0.854 0.000
Np: 0.500 0.500 0.000
P: 0.330 0.330 0.000
P: 0.670 0.670 0.000
O: 0.000 0.500 0.500
O: 0.500 0.000 0.500

Computed properties:
For the raw formation energy, the calculation gives -2.066 eV/atom. The space group is No. 139.

6.
Entry from Alexandria: an optimized crystal structure of LiNdPd (GGA-PBE).

Cell: 4.398 4.398 3.867 Å, 90.00 90.00 120.00°
Sites, in units of the cell vectors:
Li: 0.000 0.000 0.000
Nd: 0.667 0.333 0.500
Pd: 0.333 0.667 0.000

Computed properties:
For the polymorph energy (0 for the lowest one), the calculation gives 93 meV per atom. As for the formation energy: -457 meV/atom. The space group is No. 187.

7.
Entry from Alexandria: an optimized crystal structure of SmAg4Hg2 (GGA-PBE).

Cell: 5.814 5.814 5.650 Å, 117.71 117.71 77.12°
Sites, in units of the cell vectors:
Sm: 0.000 0.000 0.000
Ag: 0.001 0.616 0.314
Ag: 0.384 0.999 0.686
Ag: 0.616 0.001 0.314
Ag: 0.999 0.384 0.686
Hg: 0.488 0.488 0.238
Hg: 0.512 0.512 0.762

Computed properties:
As for the formation energy: -99 meV/atom. The space group is No. 12.

8.
Entry from Alexandria: an optimized crystal structure of TbZrZn3 (GGA-PBE).

Cell: 8.506 8.506 5.880 Å, 103.71 103.71 29.82°
Sites, in units of the cell vectors:
Tb: 0.082 0.082 0.326
Tb: 0.918 0.918 0.674
Zr: 0.300 0.300 0.901
Zr: 0.700 0.700 0.099
Zn: 0.119 0.119 0.849
Zn: 0.289 0.289 0.405
Zn: 0.446 0.446 0.305
Zn: 0.554 0.554 0.695
Zn: 0.711 0.711 0.595
Zn: 0.881 0.881 0.151

Computed properties:
As for the formation energy: -204 meV/atom. The space group is No. 12.

9.
Entry from Alexandria: an optimized crystal structure of ZrWCl2 (GGA-PBE).

Cell: 2.955 3.975 5.967 Å, 90.00 90.00 90.00°
Sites, in units of the cell vectors:
Zr: 0.000 0.000 0.000
W: 0.000 0.000 0.500
Cl: 0.500 0.500 0.247
Cl: 0.500 0.500 0.753

Computed properties:
For the polymorph energy (0 for the lowest one), the calculation gives 1174 meV per atom. For the raw formation energy, the calculation gives 0.668 eV/atom. The space group is No. 47.

10.
Entry from Alexandria: an optimized crystal structure of Sr2PtBr (GGA-PBE).

Cell: 5.388 5.388 5.388 Å, 60.00 60.00 60.00°
Sites, in units of the cell vectors:
Sr: 0.000 0.000 0.000
Sr: 0.250 0.250 0.250
Pt: 0.500 0.500 0.500
Br: 0.750 0.750 0.750

Computed properties:
For the polymorph energy (0 for the lowest one), the calculation gives 849 meV per atom. For the raw formation energy, the calculation gives -0.396 eV/atom. The space group is No. 216.

11.
Entry from Alexandria: an optimized crystal structure of LaMnRe (GGA-PBE).

Cell: 4.605 4.605 4.605 Å, 60.00 60.00 60.00°
Sites, in units of the cell vectors:
La: 0.000 0.000 0.000
Mn: 0.250 0.250 0.250
Re: 0.750 0.750 0.750

Computed properties:
For the polymorph energy (0 for the lowest one), the calculation gives 1367 meV per atom. As for the formation energy: 1631 meV/atom. The space group is No. 216.

12.
Entry from Alexandria: an optimized crystal structure of Ta3AgN (GGA-PBE).

Cell: 4.867 4.867 4.867 Å, 90.00 90.00 90.00°
Sites, in units of the cell vectors:
Ta: 0.000 0.000 0.500
Ta: 0.000 0.500 0.000
Ta: 0.500 0.000 0.000
Ag: 0.000 0.000 0.000
N: 0.500 0.500 0.500

Computed properties:
For the polymorph energy (0 for the lowest one), the calculation gives 3330 meV per atom. For the raw formation energy, the calculation gives 3.081 eV/atom. The space group is No. 221.